Density functional theory data (PBE-GGA) for a relaxed PrTl3Te2O9 crystal.

## Properties
total energy	-5.4168	eV/atom
space group	No. 164
spin magnetization	0.0000	μB per atom
ΔE_f (raw)	-1.23	eV per atom

a = 5.9872 Å, b = 5.9872 Å, c = 7.4771 Å
α = 90.00°, β = 90.00°, γ = 120.00°
Element x y z (fractional)
Pr: 0.0000 0.0000 0.5000
Tl: 0.3333 0.6667 0.6750
Tl: 0.0000 0.0000 0.0000
Tl: 0.6667 0.3333 0.3250
Te: 0.3333 0.6667 0.1624
Te: 0.6667 0.3333 0.8376
O: 0.8207 0.1793 0.6963
O: 0.8207 0.6414 0.6963
O: 0.3586 0.1793 0.6963
O: 0.6414 0.8207 0.3037
O: 0.1793 0.3586 0.3037
O: 0.1793 0.8207 0.3037
O: 0.5000 0.0000 0.0000
O: 0.0000 0.5000 0.0000
O: 0.5000 0.5000 0.0000

Density functional theory data (PBE-GGA) for a relaxed Ce3Ni8Ru crystal.

## Properties
formation energy from the elements	-28.6	kJ/mol of atoms
total energy	-6.4070	eV/atom
space group	No. 160
spin magnetization	0.0000	μB per atom

a = 4.9702 Å, b = 4.9702 Å, c = 8.7257 Å
α = 73.45°, β = 73.45°, γ = 60.00°
Element x y z (fractional)
Ce: 0.3791 0.3791 0.8626
Ce: 0.9854 0.9854 0.0439
Ce: 0.5095 0.5095 0.4716
Ni: 0.9407 0.4357 0.1878
Ni: 0.4413 0.9379 0.6829
Ni: 0.4357 0.4357 0.1878
Ni: 0.9379 0.9379 0.6829
Ni: 0.1877 0.1877 0.4370
Ni: 0.6881 0.6881 0.9356
Ni: 0.4357 0.9407 0.1878
Ni: 0.9379 0.4413 0.6829
Ru: 0.8710 0.8710 0.3871

Density functional theory data (PBE-GGA) for a relaxed Cu2Te2Br crystal.

## Properties
total energy	-3.2962	eV/atom
space group	No. 2
spin magnetization	0.0000	μB per atom
ΔE_f (raw)	-0.07	eV per atom

a = 6.2095 Å, b = 7.8291 Å, c = 6.9295 Å
α = 75.33°, β = 74.74°, γ = 50.88°
Element x y z (fractional)
Cu: 0.5027 0.7406 0.0263
Cu: 0.6545 0.3039 0.5980
Cu: 0.4973 0.2594 0.9737
Cu: 0.3455 0.6961 0.4020
Te: 0.7162 0.3341 0.2067
Te: 0.6866 0.9430 0.7669
Te: 0.3134 0.0570 0.2331
Te: 0.2838 0.6659 0.7933
Br: 0.9481 0.7351 0.3233
Br: 0.0519 0.2649 0.6767

Density functional theory data (PBE-GGA) for a relaxed NbSiI2 crystal.

## Properties
total energy	-3.7972	eV/atom
relative energy among the computed polymorphs	0.148	eV/atom
space group	No. 122
spin magnetization	0.7455	μB per atom
ΔE_f (raw)	0.85	eV per atom

a = 8.0974 Å, b = 8.0974 Å, c = 6.6788 Å
α = 52.68°, β = 52.68°, γ = 90.00°
Element x y z (fractional)
I: 0.6481 0.1250 0.2500
I: 0.1019 0.6250 0.2500
I: 0.3750 0.3519 0.7500
I: 0.8750 0.8981 0.7500
Nb: 0.0000 0.0000 0.0000
Nb: 0.7500 0.2500 0.5000
Si: 0.5000 0.5000 0.0000
Si: 0.2500 0.7500 0.5000

Density functional theory data (PBE-GGA) for a relaxed NaHf4Te8 crystal.

## Properties
total energy	-5.9527	eV/atom
relative energy among the computed polymorphs	0.000	eV/atom
space group	No. 166
spin magnetization	0.0000	μB per atom
ΔE_f (raw)	-0.86	eV per atom

a = 7.9784 Å, b = 7.9784 Å, c = 9.2784 Å
α = 90.00°, β = 115.46°, γ = 120.00°
Element x y z (fractional)
Na: 0.0000 0.5000 0.5000
Hf: 0.0000 0.0000 0.0000
Hf: 0.0000 0.5000 0.0000
Hf: 0.5000 0.5000 0.0000
Hf: 0.5000 0.0000 0.0000
Te: 0.4793 0.7397 0.2190
Te: 0.5207 0.2603 0.7810
Te: 0.4769 0.2385 0.2194
Te: 0.0191 0.2576 0.7806
Te: 0.5231 0.7615 0.7806
Te: 0.0191 0.7615 0.7806
Te: 0.9809 0.2385 0.2194
Te: 0.9809 0.7424 0.2194

Density functional theory data (PBE-GGA) for a relaxed TbY2Lu crystal.

## Properties
formation energy from the elements	2.9	kJ/mol of atoms
total energy	-5.4901	eV/atom
relative energy among the computed polymorphs	0.001	eV/atom
space group	No. 166
spin magnetization	0.0002	μB per atom

a = 3.5453 Å, b = 3.5453 Å, c = 11.7174 Å
α = 81.30°, β = 81.30°, γ = 60.00°
Element x y z (fractional)
Y: 0.7491 0.7491 0.7528
Y: 0.2509 0.2509 0.2472
Lu: 0.0000 0.0000 0.0000
Tb: 0.5000 0.5000 0.5000

Density functional theory data (PBE-GGA) for a relaxed Zn2PdW crystal.

## Properties
formation energy from the elements	52.0	kJ/mol of atoms
total energy	-4.6345	eV/atom
relative energy among the computed polymorphs	0.266	eV/atom
space group	No. 122
spin magnetization	0.0000	μB per atom

a = 6.9360 Å, b = 6.9360 Å, c = 5.5891 Å
α = 51.65°, β = 51.65°, γ = 90.00°
Element x y z (fractional)
Zn: 0.6138 0.1250 0.2500
Zn: 0.1362 0.6250 0.2500
Zn: 0.3750 0.3862 0.7500
Zn: 0.8750 0.8638 0.7500
Pd: 0.5000 0.5000 0.0000
Pd: 0.2500 0.7500 0.5000
W: 0.0000 0.0000 0.0000
W: 0.7500 0.2500 0.5000

Density functional theory data (PBE-GGA) for a relaxed ErZnCu6Si crystal.

## Properties
total energy	-3.9290	eV/atom
space group	No. 74
spin magnetization	0.0000	μB per atom
ΔE_f (raw)	0.05	eV per atom

a = 6.5121 Å, b = 8.1758 Å, c = 7.4136 Å
α = 123.46°, β = 116.05°, γ = 90.00°
Element x y z (fractional)
Er: 0.7015 0.4515 0.4031
Er: 0.2985 0.5485 0.5969
Zn: 0.5000 0.0000 0.5000
Zn: 0.0000 0.0000 0.5000
Cu: 0.5849 0.8349 0.1698
Cu: 0.0110 0.2610 0.0221
Cu: 0.9326 0.1235 0.2436
Cu: 0.3110 0.6200 0.2436
Cu: 0.3110 0.1235 0.2436
Cu: 0.9326 0.6200 0.2436
Cu: 0.4151 0.1651 0.8302
Cu: 0.9890 0.7390 0.9779
Cu: 0.0674 0.8765 0.7564
Cu: 0.6890 0.3800 0.7564
Cu: 0.6890 0.8765 0.7564
Cu: 0.0674 0.3800 0.7564
Si: 0.5000 0.5000 0.0000
Si: 0.5000 0.0000 0.0000